# 1
This record from Alexandria describes Ce2Al2PdPt after structural relaxation. The functional is PBE.

The value obtained for the calculated volume is 124.6 Å³/f.u. Its total energy is -71.8 eV for the cell shown. Its crystal system is orthorhombic.

Unit cell a=4.4228 b=7.1352 c=7.8995 alpha=90.00 beta=90.00 gamma=90.00
With the nearest neighbours (Å) after each atom.
Fractional coordinates of all 12 atoms:
Al 0.5000 0.8505 0.8220  2 Pt 2.67-2.70, 2 Pd 2.67
Al 0.0000 0.6509 0.3161  2 Pt 2.65, 2 Pd 2.67-2.74
Al 0.0000 0.1509 0.6839  2 Pt 2.65, 2 Pd 2.67-2.74
Al 0.5000 0.3505 0.1780  2 Pt 2.67-2.70, 2 Pd 2.67
Ce 0.0000 0.5247 0.9336  1 Pd 2.93, 4 Pt 3.10-3.15, 3 Al 3.15-3.19
Ce 0.5000 0.4718 0.5628  1 Pt 2.92, 4 Pd 3.07-3.18, 3 Al 3.16-3.21
Ce 0.5000 0.9718 0.4372  1 Pt 2.92, 4 Pd 3.07-3.18, 3 Al 3.16-3.21
Ce 0.0000 0.0247 0.0664  1 Pd 2.93, 4 Pt 3.10-3.15, 3 Al 3.15-3.19
Pd 0.0000 0.7797 0.6430  4 Al 2.67-2.74, 1 Ce 2.93
Pd 0.0000 0.2797 0.3570  4 Al 2.67-2.74, 1 Ce 2.93
Pt 0.5000 0.2224 0.8566  4 Al 2.65-2.70, 1 Ce 2.92
Pt 0.5000 0.7224 0.1434  4 Al 2.65-2.70, 1 Ce 2.92

# 2
This record from Alexandria describes Ce2Al5Pd2Pt after structural relaxation. The functional is PBE.

The value obtained for the calculated volume is 188.0 Å³/f.u. Its total energy is -107.4 eV for the cell shown. Its crystal system is tetragonal.

Unit cell a=4.0816 b=9.5971 c=9.5971 alpha=90.00 beta=90.00 gamma=90.00
With the nearest neighbours (Å) after each atom.
Fractional coordinates of all 20 atoms:
Ce 0.0000 0.1870 0.3130  3 Pd 2.71-2.97
Ce 0.0000 0.8130 0.6870  3 Pd 2.71-2.97
Ce 0.0000 0.3130 0.8130  3 Pd 2.71-2.97
Ce 0.0000 0.6870 0.1870  3 Pd 2.71-2.97
Pd 0.0000 0.8864 0.3864  6 Al 2.56-2.81, 1 Ce 2.71
Pd 0.0000 0.6136 0.8864  6 Al 2.56-2.81, 1 Ce 2.71
Pd 0.0000 0.3864 0.1136  6 Al 2.56-2.81, 1 Ce 2.71
Pd 0.0000 0.1136 0.6136  6 Al 2.56-2.81, 1 Ce 2.71
Al 0.5000 0.3028 0.5466  3 Al 2.75-2.94, 2 Pd 2.81, 2 Pt 2.82
Al 0.5000 0.4534 0.3028  3 Al 2.75-2.94, 2 Pd 2.81, 2 Pt 2.82
Al 0.5000 0.5000 0.0000  4 Pd 2.56
Al 0.5000 0.0000 0.5000  4 Pd 2.56
Al 0.5000 0.9534 0.1972  3 Al 2.75-2.94, 2 Pd 2.81, 2 Pt 2.82
Al 0.5000 0.5466 0.6972  3 Al 2.75-2.94, 2 Pd 2.81, 2 Pt 2.82
Al 0.5000 0.1972 0.0466  3 Al 2.75-2.94, 2 Pd 2.81, 2 Pt 2.82
Al 0.5000 0.6972 0.4534  3 Al 2.75-2.94, 2 Pd 2.81, 2 Pt 2.82
Al 0.5000 0.0466 0.8028  3 Al 2.75-2.94, 2 Pd 2.81, 2 Pt 2.82
Al 0.5000 0.8028 0.9534  3 Al 2.75-2.94, 2 Pd 2.81, 2 Pt 2.82
Pt 0.0000 0.0000 0.0000  8 Al 2.82
Pt 0.0000 0.5000 0.5000  8 Al 2.82